Ag2Se, optimized geometry, DFT PBE; density of states at the Fermi level = 0.184 states/eV per atom; total energy = -2.9944 eV/atom; symmetry = Pmna
1.0
7.897 0.000 0.000
0.000 7.333 0.000
0.000 0.000 4.573
Ag Se
8 4
Direct
0.000 0.102 0.246
0.000 0.898 0.754
0.250 0.388 0.250
0.250 0.612 0.750
0.500 0.102 0.254
0.500 0.898 0.746
0.750 0.388 0.250
0.750 0.612 0.750
0.000 0.294 0.733
0.000 0.706 0.267
0.500 0.294 0.767
0.500 0.706 0.233